Record 1
Material: PmPaTcOs
Method: DFT, PBE
State: optimized geometry

a = 4.914 Å, b = 4.914 Å, c = 4.914 Å
α = 60.00°, β = 60.00°, γ = 60.00°
Element x y z (fractional)
1 Pm 0.000 0.000 0.000
2 Pa 0.500 0.500 0.500
3 Tc 0.250 0.250 0.250
4 Os 0.750 0.750 0.750

- M_tot: 0.00 Bohr magnetons per cell
- Space group: No. 216
- DFT formation energy: -38 meV per atom
- Energy: -8.998 eV/atom


Record 2
Material: CeErAg6
Method: DFT, PBE
State: optimized geometry

a = 4.928 Å, b = 4.928 Å, c = 8.625 Å
α = 106.95°, β = 106.95°, γ = 59.75°
Element x y z (fractional)
1 Ce 0.000 0.000 0.000
2 Er 0.500 0.500 0.500
3 Ag 0.128 0.128 0.381
4 Ag 0.249 0.249 0.748
5 Ag 0.379 0.379 0.137
6 Ag 0.621 0.621 0.863
7 Ag 0.751 0.751 0.252
8 Ag 0.872 0.872 0.619

- M_tot: 1.03 Bohr magnetons per cell
- Space group: No. 12
- DFT formation energy: -133 meV per atom
- Energy: -3.583 eV/atom


Record 3
Material: AlHgPb2
Method: DFT, PBE
State: optimized geometry

a = 5.353 Å, b = 5.353 Å, c = 5.353 Å
α = 60.00°, β = 60.00°, γ = 60.00°
Element x y z (fractional)
1 Al 0.000 0.000 0.000
2 Hg 0.250 0.250 0.250
3 Pb 0.500 0.500 0.500
4 Pb 0.750 0.750 0.750

- M_tot: 0.00 Bohr magnetons per cell
- Relative energy among the computed polymorphs: 62 meV per atom
- Space group: No. 216
- DFT formation energy: 184 meV per atom
- Energy: -2.681 eV/atom


- Look up the DFT formation energy of the second one.
  -133 meV per atom